Record 1
Computed, not measured: a relaxed BaReOs crystal at the PBE level of DFT.

Lattice parameters (Å, degrees): 6.462 6.462 6.462 152.66 144.40 45.46
Fractional coordinates of all 3 atoms:
Ba 0.000 0.000 0.000
Re 0.728 0.728 0.000
Os 0.274 0.274 0.000

- ΔH_f (0 K): 705 meV/atom
- Distance to the lowest polymorph of the same formula: 16.4 kJ/mol of atoms
- Space-group type: Imm2, No. 44
- Final energy: -0.288 hartree per atom
- Crystal system: orthorhombic
- Volume: 72 Å³ per cell

Record 2
Computed, not measured: a relaxed LaV2ZnRu crystal at the PBE level of DFT.

Lattice parameters (Å, degrees): 4.601 4.601 5.546 90.00 90.00 90.00
Fractional coordinates of all 5 atoms:
La 0.000 0.000 0.000
V 0.000 0.500 0.500
V 0.500 0.000 0.500
Zn 0.500 0.500 0.000
Ru 0.000 0.000 0.500

- ΔH_f (0 K): 752 meV/atom
- Space-group type: P4/mmm, No. 123
- Final energy: -0.220 hartree per atom
- Crystal system: tetragonal
- Volume: 117 Å³ per cell

Record 3
Computed, not measured: a relaxed CePuCd2 crystal at the PBE level of DFT.

Lattice parameters (Å, degrees): 3.132 3.132 10.066 90.00 90.00 90.00
Fractional coordinates of all 4 atoms:
Ce 0.000 0.000 0.000
Pu 0.000 0.000 0.500
Cd 0.500 0.500 0.251
Cd 0.500 0.500 0.749

- ΔH_f (0 K): -103 meV/atom
- Distance to the lowest polymorph of the same formula: 0.6 kJ/mol of atoms
- Space-group type: P4/mmm, No. 123
- Final energy: -0.207 hartree per atom
- Crystal system: tetragonal
- Volume: 99 Å³ per cell